A relaxed structure of NbAs2Os. Source: the Alexandria database, functional PBE-GGA.

Output
DFT total energy, eV per atom: -7.623
Formation enthalpy at 0 K, eV per atom: 0.026
Calculated volume, Å³ per cell: 62.26
Relative energy among the computed polymorphs, eV per formula unit: 0.00

Unit cell a=4.449 b=4.449 c=4.449 alpha=60.00 beta=60.00 gamma=60.00
Atoms (fractional coordinates):
Nb1 0.000 0.000 0.000
As1 0.250 0.250 0.250
As2 0.750 0.750 0.750
Os1 0.500 0.500 0.500

A relaxed structure of NbAsOs3. Source: the Alexandria database, functional PBE-GGA.

Output
DFT total energy, eV per atom: -8.275
Formation enthalpy at 0 K, eV per atom: 1.406
Calculated volume, Å³ per cell: 90.28
Relative energy among the computed polymorphs, eV per formula unit: 0.00

Unit cell a=4.486 b=4.486 c=4.486 alpha=90.00 beta=90.00 gamma=90.00
Atoms (fractional coordinates):
Nb1 0.000 0.000 0.000
As1 0.500 0.500 0.500
Os1 0.000 0.500 0.500
Os2 0.500 0.000 0.500
Os3 0.500 0.500 0.000

A relaxed structure of Nb2As2Os. Source: the Alexandria database, functional PBE-GGA.

Output
DFT total energy, eV per atom: -8.195
Formation enthalpy at 0 K, eV per atom: -0.061
Calculated volume, Å³ per cell: 164.32

Unit cell a=6.960 b=6.960 c=3.393 alpha=90.00 beta=90.00 gamma=90.00
Atoms (fractional coordinates):
Nb1 0.148 0.352 0.000
Nb2 0.352 0.852 0.000
Nb3 0.648 0.148 0.000
Nb4 0.852 0.648 0.000
As1 0.153 0.653 0.500
As2 0.347 0.153 0.500
As3 0.653 0.847 0.500
As4 0.847 0.347 0.500
Os1 0.000 0.000 0.500
Os2 0.500 0.500 0.500

A relaxed structure of NbAs2Os. Source: the Alexandria database, functional PBE-GGA.

Output
DFT total energy, eV per atom: -7.195
Formation enthalpy at 0 K, eV per atom: 0.455
Calculated volume, Å³ per cell: 182.31
Relative energy among the computed polymorphs, eV per formula unit: 1.71

Unit cell a=6.817 b=6.817 c=6.817 alpha=129.82 beta=129.82 gamma=73.69
Atoms (fractional coordinates):
Nb1 0.000 0.000 0.000
Nb2 0.750 0.250 0.500
As1 0.150 0.625 0.025
As2 0.375 0.400 0.525
As3 0.600 0.125 0.975
As4 0.875 0.850 0.475
Os1 0.250 0.750 0.500
Os2 0.500 0.500 0.000